No. 1
Cs2KFeH6 PBE optimized geometry; Fermi-level density of states = 1.041 states/eV per atom; E_tot = -32.50 eV per cell; theoretical density = 3625 kg/m³; space group = No. 225
1.0
-3.851 3.877 2.916
-3.456 -2.035 4.721
1.253 1.848 5.778
H Cs Fe K
6 2 1 1
direct
0.186 0.814 0.814
0.186 0.814 0.186
0.814 0.814 0.186
0.186 0.186 0.814
0.814 0.186 0.186
0.814 0.186 0.814
0.750 0.750 0.750
0.250 0.250 0.250
0.000 0.000 0.000
0.500 0.500 0.500

---

No. 2
CsFe2MoH PBE optimized geometry; Fermi-level density of states = 1.798 states/eV per atom; E_tot = -19.07 eV per cell; theoretical density = 7341 kg/m³; space group = No. 123
1.0
-1.933 -4.085 1.642
1.658 0.373 2.878
-3.700 2.479 1.811
Fe Mo Cs H
2 1 1 1
direct
0.500 0.000 0.000
0.000 0.000 0.500
0.500 0.500 0.500
0.000 0.000 0.000
0.000 0.500 0.000

---

No. 3
CsFeSi2H PBE optimized geometry; Fermi-level density of states = 1.399 states/eV per atom; E_tot = -9.50 eV per cell; theoretical density = 2042 kg/m³; space group = No. 123
1.0
5.942 0.000 0.000
0.000 5.664 0.000
0.000 0.000 5.942
Cs H Si Fe
1 1 2 1
direct
0.000 0.000 0.000
0.500 0.500 0.500
0.500 0.000 0.000
0.000 0.000 0.500
0.000 0.500 0.000

---

No. 4
CsHfFe3 PBE optimized geometry; Fermi-level density of states = 1.034 states/eV per atom; theoretical density = 7175 kg/m³; space group = No. 221; energy above the lowest structure with this stoichiometry = 0.0 kJ/mol of atoms
1.0
-4.233 -1.920 -1.212
0.861 -3.730 2.902
-2.101 2.340 3.631
Fe Cs Hf
3 1 1
direct
0.000 0.500 0.000
0.000 0.000 0.500
0.500 0.000 0.000
0.500 0.500 0.500
0.000 0.000 0.000

---

No. 5
CsHf3Fe PBE optimized geometry; Fermi-level density of states = 0.858 states/eV per atom; theoretical density = 9541 kg/m³; space group = No. 221; energy above the lowest structure with this stoichiometry = 0.0 kJ/mol of atoms
1.0
-4.387 2.395 -0.405
-2.257 -3.711 2.505
0.896 2.373 4.325
Hf Cs Fe
3 1 1
direct
0.500 0.000 0.000
0.000 0.000 0.500
0.000 0.500 0.000
0.500 0.500 0.500
0.000 0.000 0.000

---

No. 6
CsHfFe3 PBE optimized geometry; Fermi-level density of states = 1.354 states/eV per atom; theoretical density = 7838 kg/m³; space group = No. 221; energy above the lowest structure with this stoichiometry = 80.3 kJ/mol of atoms
1.0
-0.875 4.215 1.796
-3.324 0.673 -3.202
-3.152 -1.881 2.878
Fe Hf Cs
3 1 1
direct
0.000 0.500 0.000
0.000 0.000 0.500
0.500 0.000 0.000
0.500 0.500 0.500
0.000 0.000 0.000

---

No. 7
Cs2HfFe PBE optimized geometry; Fermi-level density of states = 0.963 states/eV per atom; E_tot = -12.45 eV per cell; theoretical density = 4944 kg/m³; space group = No. 225
1.0
0.000 4.379 4.379
4.379 0.000 4.379
4.379 4.379 0.000
Cs Fe Hf
2 1 1
direct
0.250 0.250 0.250
0.750 0.750 0.750
0.000 0.000 0.000
0.500 0.500 0.500

---

No. 8
CsHfFe2 PBE optimized geometry; Fermi-level density of states = 0.772 states/eV per atom; E_tot = -22.09 eV per cell; theoretical density = 8759 kg/m³; space group = No. 225
1.0
0.851 -4.729 -0.586
-0.719 -3.063 3.679
-3.694 -3.125 -0.139
Fe Cs Hf
2 1 1
direct
0.750 0.750 0.750
0.250 0.250 0.250
0.000 0.000 0.000
0.500 0.500 0.500

---

No. 9
CsHf3Fe PBE optimized geometry; Fermi-level density of states = 1.822 states/eV per atom; theoretical density = 8795 kg/m³; space group = No. 221; energy above the lowest structure with this stoichiometry = 206.2 kJ/mol of atoms
1.0
-0.879 3.428 3.744
-4.872 0.497 -1.598
-1.424 -3.813 3.158
Fe Hf Cs
1 3 1
direct
0.500 0.500 0.500
0.500 0.000 0.000
0.000 0.000 0.500
0.000 0.500 0.000
0.000 0.000 0.000

---

No. 10
CsHf2Fe PBE optimized geometry; Fermi-level density of states = 2.477 states/eV per atom; E_tot = -49.18 eV per cell; theoretical density = 6098 kg/m³; space group = No. 141
1.0
-0.126 0.191 7.388
6.441 -3.620 0.203
5.825 3.026 3.719
Fe Cs Hf
2 2 4
direct
0.500 0.500 0.000
0.250 0.750 0.500
0.750 0.250 0.500
0.000 0.000 0.000
0.375 0.625 0.250
0.875 0.625 0.750
0.375 0.625 0.750
0.375 0.125 0.250

---

No. 11
Cs2FeHg PBE optimized geometry; Fermi-level density of states = 0.956 states/eV per atom; E_tot = -7.82 eV per cell; theoretical density = 4629 kg/m³; space group = No. 225
1.0
-5.406 -3.461 0.223
-5.375 2.588 2.381
-4.888 1.422 -3.917
Cs Fe Hg
2 1 1
direct
0.750 0.750 0.750
0.250 0.250 0.250
0.000 0.000 0.000
0.500 0.500 0.500

---

No. 12
Cs3FeHg PBE optimized geometry; Fermi-level density of states = 1.800 states/eV per atom; E_tot = -7.83 eV per cell; theoretical density = 2785 kg/m³; space group = No. 221
1.0
7.310 0.000 0.000
0.000 7.310 0.000
0.000 0.000 7.310
Cs Hg Fe
3 1 1
direct
0.500 0.000 0.000
0.000 0.500 0.000
0.000 0.000 0.500
0.000 0.000 0.000
0.500 0.500 0.500

---

No. 13
CsFe2HgI8 PBE optimized geometry; Fermi-level density of states = 0.271 states/eV per atom; E_tot = -35.41 eV per cell; theoretical density = 4226 kg/m³; space group = No. 12
1.0
7.397 -0.508 0.380
2.962 6.797 0.380
1.083 0.658 11.161
Cs I Fe Hg
1 8 2 1
direct
0.000 0.000 0.500
0.250 0.250 0.981
0.761 0.280 0.788
0.750 0.750 0.019
0.313 0.313 0.588
0.720 0.239 0.212
0.280 0.761 0.788
0.687 0.687 0.412
0.239 0.720 0.212
0.607 0.607 0.217
0.393 0.393 0.783
0.000 0.000 0.000